# 1
Compound: K3Pr3MnTe8
Source: the Alexandria database
Functional: PBE-GGA
Structure: optimized geometry

Lattice parameters (Å, degrees): 9.016 9.016 9.916 117.05 90.00 120.01
Site moments in Bohr magnetons follow the coordinates.
Atoms (fractional coordinates):
K 0.000 0.000 0.000  0.00
K 0.000 0.500 0.000  0.00
K 0.500 0.500 0.000  0.00
Pr 0.500 0.000 0.500  0.01
Pr 0.500 0.500 0.500  0.01
Pr 0.000 0.500 0.500  0.01
Mn 0.000 0.000 0.500  3.39
Te 0.261 0.521 0.282  0.00
Te 0.739 0.479 0.718  0.00
Te 0.788 0.577 0.306  -0.06
Te 0.212 0.423 0.694  -0.06
Te 0.788 0.017 0.306  -0.06
Te 0.212 0.983 0.694  -0.06
Te 0.229 0.017 0.306  -0.06
Te 0.771 0.983 0.694  -0.06

**Symmetry**: R-3m (166)
**Final energy**: -4.547 eV per atom
**ΔE_f (raw)**: -1085 meV per atom
**Mass density**: 4.52 g/cm3
**Magnetic moment**: 3.02 μB/f.u.

# 2
Compound: Nb2ReSI
Source: the Alexandria database
Functional: PBE-GGA
Structure: optimized geometry

Lattice parameters (Å, degrees): 5.118 4.400 5.118 90.00 90.00 90.00
Site moments in Bohr magnetons follow the coordinates.
Atoms (fractional coordinates):
I 0.500 0.500 0.500  -0.02
Re 0.000 0.000 0.000  -0.13
Nb 0.000 0.000 0.500  0.64
Nb 0.500 0.000 0.000  0.92
S 0.000 0.500 0.000  0.01

**Symmetry**: P4/mmm (123)
**E above lowest polymorph**: 0.000 eV per atom
**Final energy**: -6.786 eV per atom
**ΔE_f (raw)**: 867 meV per atom
**Mass density**: 7.65 g/cm3
**Magnetic moment**: 1.79 μB/f.u.

# 3
Compound: PrSm2Ga
Source: the Alexandria database
Functional: PBE-GGA
Structure: optimized geometry

Lattice parameters (Å, degrees): 4.295 6.480 9.288 90.00 90.00 109.33
Atoms (fractional coordinates):
Pr 0.940 0.881 0.250
Pr 0.060 0.119 0.750
Sm 0.356 0.711 0.553
Sm 0.644 0.289 0.447
Sm 0.356 0.711 0.947
Sm 0.644 0.289 0.053
Ga 0.749 0.498 0.750
Ga 0.251 0.502 0.250

**Symmetry**: Cmcm (63)
**ΔE_f**: -239 meV per atom
**E above lowest polymorph**: 0.025 eV per atom
**Final energy**: -4.550 eV per atom
**Mass density**: 6.96 g/cm3
**Magnetic moment**: 0.00 μB/f.u.

# 4
Compound: NaLiPmAl
Source: the Alexandria database
Functional: PBE-GGA
Structure: optimized geometry

Lattice parameters (Å, degrees): 5.197 5.197 5.197 60.00 60.00 60.00
Atoms (fractional coordinates):
Na 0.500 0.500 0.500
Li 0.250 0.250 0.250
Al 0.750 0.750 0.750
Pm 0.000 0.000 0.000

**Symmetry**: F-43m (216)
**ΔE_f**: 20 meV per atom
**Final energy**: -2.911 eV per atom
**Mass density**: 3.38 g/cm3
**Magnetic moment**: 0.00 μB/f.u.

# 5
Compound: K3PuZn2F9
Source: the Alexandria database
Functional: PBE-GGA
Structure: optimized geometry

Lattice parameters (Å, degrees): 6.068 6.068 7.941 90.00 90.00 120.00
Site moments in Bohr magnetons follow the coordinates.
Atoms (fractional coordinates):
K 0.333 0.667 0.730  0.00
K 0.000 0.000 0.000  0.00
K 0.667 0.333 0.270  0.00
Pu 0.000 0.000 0.500  5.41
Zn 0.333 0.667 0.155  0.02
Zn 0.667 0.333 0.845  0.02
F 0.829 0.171 0.691  -0.01
F 0.829 0.658 0.691  -0.01
F 0.342 0.171 0.691  -0.01
F 0.658 0.829 0.309  -0.01
F 0.171 0.342 0.309  -0.01
F 0.171 0.829 0.309  -0.01
F 0.500 0.000 0.000  0.00
F 0.000 0.500 0.000  0.00
F 0.500 0.500 0.000  0.00

**Symmetry**: P-3m1 (164)
**Final energy**: -5.136 eV per atom
**ΔE_f (raw)**: -2669 meV per atom
**Mass density**: 4.35 g/cm3
**Magnetic moment**: 5.51 μB/f.u.

# 6
Compound: CuSiBr2
Source: the Alexandria database
Functional: PBE-GGA
Structure: optimized geometry

Lattice parameters (Å, degrees): 8.173 8.173 8.173 25.14 25.14 25.14
Atoms (fractional coordinates):
Br 0.984 0.984 0.984
Br 0.516 0.516 0.516
Cu 0.250 0.250 0.250
Si 0.750 0.750 0.750

**Symmetry**: R-3m (166)
**E above lowest polymorph**: 0.378 eV per atom
**Final energy**: -2.936 eV per atom
**ΔE_f (raw)**: 280 meV per atom
**Mass density**: 4.81 g/cm3
**Magnetic moment**: 0.00 μB/f.u.

# 7
Compound: MnCoSi2
Source: the Alexandria database
Functional: PBE-GGA
Structure: optimized geometry

Lattice parameters (Å, degrees): 6.394 6.394 5.208 52.13 52.13 90.00
Site moments in Bohr magnetons follow the coordinates.
Atoms (fractional coordinates):
Si 0.652 0.125 0.250  -0.05
Si 0.098 0.625 0.250  -0.05
Si 0.375 0.348 0.750  -0.05
Si 0.875 0.902 0.750  -0.05
Mn 0.500 0.500 0.000  2.76
Mn 0.250 0.750 0.500  2.76
Co 0.000 0.000 0.000  0.11
Co 0.750 0.250 0.500  0.11

**Symmetry**: I-42d (122)
**E above lowest polymorph**: 0.639 eV per atom
**Final energy**: -6.646 eV per atom
**ΔE_f (raw)**: 134 meV per atom
**Mass density**: 5.35 g/cm3
**Magnetic moment**: 2.79 μB/f.u.

# 8
Compound: DyHo4Mg3
Source: the Alexandria database
Functional: PBE-GGA
Structure: optimized geometry

Lattice parameters (Å, degrees): 3.786 5.417 10.961 90.00 90.00 90.00
Atoms (fractional coordinates):
Mg 0.500 0.000 0.251
Mg 0.500 0.500 0.500
Mg 0.500 0.000 0.749
Ho 0.000 0.000 0.500
Ho 0.000 0.500 0.738
Ho 0.000 0.000 0.000
Ho 0.000 0.500 0.262
Dy 0.500 0.500 0.000

**Symmetry**: Pmmm (47)
**ΔE_f**: -3 meV per atom
**Final energy**: -3.465 eV per atom
**Mass density**: 6.61 g/cm3
**Magnetic moment**: 0.00 μB/f.u.

# 9
Compound: TlTe2RhN
Source: the Alexandria database
Functional: PBE-GGA
Structure: optimized geometry

Lattice parameters (Å, degrees): 5.738 5.738 3.941 90.00 90.00 90.00
Site moments in Bohr magnetons follow the coordinates.
Atoms (fractional coordinates):
Tl 0.000 0.000 0.000  0.02
Te 0.000 0.500 0.000  0.13
Te 0.500 0.000 0.000  0.13
Rh 0.500 0.500 0.500  0.26
N 0.000 0.000 0.500  0.77

**Symmetry**: P4/mmm (123)
**E above lowest polymorph**: 1.383 eV per atom
**Final energy**: -3.242 eV per atom
**ΔE_f (raw)**: 1624 meV per atom
**Mass density**: 7.38 g/cm3
**Magnetic moment**: 1.77 μB/f.u.

# 10
Compound: LaReSb2
Source: the Alexandria database
Functional: PBE-GGA
Structure: optimized geometry

Lattice parameters (Å, degrees): 7.688 7.688 7.688 154.53 148.53 40.91
Atoms (fractional coordinates):
La 0.443 0.443 0.000
Re 0.213 0.713 0.500
Sb 0.068 0.068 0.000
Sb 0.776 0.276 0.500

**Symmetry**: Imm2 (44)
**E above lowest polymorph**: 0.215 eV per atom
**Final energy**: -6.453 eV per atom
**ΔE_f (raw)**: -48 meV per atom
**Mass density**: 9.28 g/cm3
**Magnetic moment**: 0.00 μB/f.u.

# 11
Compound: Ho12Co6Ni
Source: the Alexandria database
Functional: PBE-GGA
Structure: optimized geometry

Lattice parameters (Å, degrees): 8.224 8.224 8.224 109.47 109.47 109.47
Atoms (fractional coordinates):
Ho 0.299 0.105 0.807
Ho 0.299 0.492 0.193
Ho 0.701 0.508 0.807
Ho 0.701 0.895 0.193
Ho 0.105 0.807 0.299
Ho 0.492 0.193 0.299
Ho 0.508 0.807 0.701
Ho 0.895 0.193 0.701
Ho 0.807 0.299 0.105
Ho 0.193 0.299 0.492
Ho 0.807 0.701 0.508
Ho 0.193 0.701 0.895
Co 0.385 0.500 0.885
Co 0.615 0.500 0.115
Co 0.500 0.885 0.385
Co 0.500 0.115 0.615
Co 0.885 0.385 0.500
Co 0.115 0.615 0.500
Ni 0.000 0.000 0.000

**Symmetry**: Im-3 (204)
**ΔE_f**: -186 meV per atom
**Final energy**: -5.626 eV per atom
**Mass density**: 9.27 g/cm3
**Magnetic moment**: 0.00 μB/f.u.